VASP calculation (PBE) on an optimized crystal structure of Nd2AuO.

Unit cell a=7.277 b=7.277 c=7.277 alpha=30.56 beta=30.56 gamma=30.56
Positions (direct):
Nd  0.232  0.232  0.232
Nd  0.768  0.768  0.768
Au  0.000  0.000  0.000
O  0.500  0.500  0.500

SG: R-3m
Formation energy without anion corrections (eV/atom): -1.581
Magnetization (μB/atom): 0.00